[1]
Computed, not measured: a geometry-optimized Li2PmHo2Si2 structure at the GGA-PBE level of DFT.

- M_tot: 0.000 μB/atom
- SG: R-3m (166)
- Formation energy from raw total energies: -0.40 eV per atom
- D(E_F): 3.38 states/eV/f.u.
- Total DFT energy (no corrections): -4.48 eV per atom

Cell lengths 4.4725, 4.4725, 9.1882 Å; angles 75.91, 75.91, 60.00 degrees
Last column: nearest neighbours and their distance in Å.
Fractional coordinates of all 7 atoms:
Li1 0.5949 0.5949 0.2154  3 Si 2.58
Li2 0.4051 0.4051 0.7846  3 Si 2.58
Pm1 0.0000 0.0000 0.0000  6 Li 3.21, 6 Si 3.24, 2 Ho 3.40
Ho1 0.1284 0.1284 0.6149  3 Si 2.95, 3 Li 2.98, 3 Ho 3.28
Ho2 0.8716 0.8716 0.3851  3 Si 2.95, 3 Li 2.98, 3 Ho 3.28
Si1 0.7408 0.7408 0.7776  3 Li 2.58
Si2 0.2592 0.2592 0.2224  3 Li 2.58


[2]
Computed, not measured: a geometry-optimized Li2PmHoSi2 structure at the GGA-PBE level of DFT.

- M_tot: 0.000 μB/atom
- SG: P-3m1 (164)
- Formation energy from raw total energies: -0.56 eV per atom
- D(E_F): 1.34 states/eV/f.u.
- Total DFT energy (no corrections): -4.56 eV per atom

Cell lengths 4.4049, 4.4049, 7.2503 Å; angles 90.00, 90.00, 120.00 degrees
Last column: nearest neighbours and their distance in Å.
Fractional coordinates of all 6 atoms:
Li1 0.3333 0.6667 0.7223  3 Si 2.55
Li2 0.6667 0.3333 0.2777  3 Si 2.55
Pm1 0.0000 0.0000 0.0000  6 Si 3.17, 6 Li 3.24
Ho1 0.0000 0.0000 0.5000  6 Li 3.01, 6 Si 3.08
Si1 0.3333 0.6667 0.2615  3 Li 2.55
Si2 0.6667 0.3333 0.7385  3 Li 2.55


[3]
Computed, not measured: a geometry-optimized LiPmHoSi structure at the GGA-PBE level of DFT.

- M_tot: 0.000 μB/atom
- SG: F-43m (216)
- Formation energy from raw total energies: -0.35 eV per atom
- D(E_F): 2.07 states/eV/f.u.
- Total DFT energy (no corrections): -4.52 eV per atom

Cell lengths 5.0263, 5.0263, 5.0263 Å; angles 60.00, 60.00, 60.00 degrees
Last column: nearest neighbours and their distance in Å.
Fractional coordinates of all 4 atoms:
Si1 0.2500 0.2500 0.2500  4 Ho 3.08, 4 Pm 3.08
Li1 0.7500 0.7500 0.7500  4 Ho 3.08, 4 Pm 3.08
Ho1 0.0000 0.0000 0.0000  4 Li 3.08, 4 Si 3.08
Pm1 0.5000 0.5000 0.5000  4 Si 3.08, 4 Li 3.08


Question: Look up the total DFT energy (no corrections) of the third one.
Answer: -4.52 eV per atom


Copy entry 3 word for word.
Computed, not measured: a geometry-optimized LiPmHoSi structure at the GGA-PBE level of DFT.

- M_tot: 0.000 μB/atom
- SG: F-43m (216)
- Formation energy from raw total energies: -0.35 eV per atom
- D(E_F): 2.07 states/eV/f.u.
- Total DFT energy (no corrections): -4.52 eV per atom

Cell lengths 5.0263, 5.0263, 5.0263 Å; angles 60.00, 60.00, 60.00 degrees
Last column: nearest neighbours and their distance in Å.
Fractional coordinates of all 4 atoms:
Si1 0.2500 0.2500 0.2500  4 Ho 3.08, 4 Pm 3.08
Li1 0.7500 0.7500 0.7500  4 Ho 3.08, 4 Pm 3.08
Ho1 0.0000 0.0000 0.0000  4 Li 3.08, 4 Si 3.08
Pm1 0.5000 0.5000 0.5000  4 Si 3.08, 4 Li 3.08


Please write out number 2 again, unchanged.
Computed, not measured: a geometry-optimized Li2PmHoSi2 structure at the GGA-PBE level of DFT.

- M_tot: 0.000 μB/atom
- SG: P-3m1 (164)
- Formation energy from raw total energies: -0.56 eV per atom
- D(E_F): 1.34 states/eV/f.u.
- Total DFT energy (no corrections): -4.56 eV per atom

Cell lengths 4.4049, 4.4049, 7.2503 Å; angles 90.00, 90.00, 120.00 degrees
Last column: nearest neighbours and their distance in Å.
Fractional coordinates of all 6 atoms:
Li1 0.3333 0.6667 0.7223  3 Si 2.55
Li2 0.6667 0.3333 0.2777  3 Si 2.55
Pm1 0.0000 0.0000 0.0000  6 Si 3.17, 6 Li 3.24
Ho1 0.0000 0.0000 0.5000  6 Li 3.01, 6 Si 3.08
Si1 0.3333 0.6667 0.2615  3 Li 2.55
Si2 0.6667 0.3333 0.7385  3 Li 2.55